Entry 1
DFT (GGA-PBEsol) results for a relaxed structure of KLaSi2.

Values from the calculation:
Its mass density is 4.047 g/cm3. The density of states at the Fermi level is 4.51 states/eV/cell.

```
data_KLaSi2
_space_group_name_H-M_alt 'P 1'
_space_group_IT_number 1
_space_group_name_Hall 'P 1'
_cell_length_a 5.749
_cell_length_b 5.749
_cell_length_c 5.749
_cell_angle_alpha 134.20
_cell_angle_beta 134.20
_cell_angle_gamma 66.78
loop_
_atom_site_label
_atom_site_type_symbol
_atom_site_fract_x
_atom_site_fract_y
_atom_site_fract_z
_atom_site_occupancy
K1 K 0.000 0.000 0.000 1
La1 La 0.750 0.250 0.500 1
Si1 Si 0.250 0.750 0.500 1
Si2 Si 0.500 0.500 0.000 1
```

---

Entry 2
DFT (GGA-PBEsol) results for a relaxed structure of KLaSi2.

Values from the calculation:
Its mass density is 3.234 g/cm3. The density of states at the Fermi level is 3.52 states/eV/cell.

```
data_KLaSi2
_space_group_name_H-M_alt 'P 1'
_space_group_IT_number 1
_space_group_name_Hall 'P 1'
_cell_length_a 9.036
_cell_length_b 9.036
_cell_length_c 9.036
_cell_angle_alpha 25.49
_cell_angle_beta 25.49
_cell_angle_gamma 25.49
loop_
_atom_site_label
_atom_site_type_symbol
_atom_site_fract_x
_atom_site_fract_y
_atom_site_fract_z
_atom_site_occupancy
K1 K 0.000 0.000 0.000 1
La1 La 0.817 0.817 0.817 1
Si1 Si 0.242 0.242 0.242 1
Si2 Si 0.557 0.557 0.557 1
```

---

The structure with the greatest stability is entry 2.

---

Entry 1
DFT (GGA-PBEsol) results for a relaxed structure of KLaTc2.

Values from the calculation:
Its mass density is 7.928 g/cm3. The density of states at the Fermi level is 3.18 states/eV/cell.

```
data_KLaTc2
_space_group_name_H-M_alt 'P 1'
_space_group_IT_number 1
_space_group_name_Hall 'P 1'
_cell_length_a 5.904
_cell_length_b 5.904
_cell_length_c 5.904
_cell_angle_alpha 141.74
_cell_angle_beta 141.74
_cell_angle_gamma 55.22
loop_
_atom_site_label
_atom_site_type_symbol
_atom_site_fract_x
_atom_site_fract_y
_atom_site_fract_z
_atom_site_occupancy
K1 K 0.000 0.000 0.000 1
La1 La 0.500 0.500 0.000 1
Tc1 Tc 0.250 0.750 0.500 1
Tc2 Tc 0.750 0.250 0.500 1
```

---

Entry 2
DFT (GGA-PBEsol) results for a relaxed structure of KLaTc2.

Values from the calculation:
Its mass density is 5.599 g/cm3. The density of states at the Fermi level is 3.58 states/eV/cell.

```
data_KLaTc2
_space_group_name_H-M_alt 'P 1'
_space_group_IT_number 1
_space_group_name_Hall 'P 1'
_cell_length_a 3.081
_cell_length_b 4.957
_cell_length_c 7.262
_cell_angle_alpha 90.00
_cell_angle_beta 90.00
_cell_angle_gamma 90.00
loop_
_atom_site_label
_atom_site_type_symbol
_atom_site_fract_x
_atom_site_fract_y
_atom_site_fract_z
_atom_site_occupancy
K1 K 0.000 0.000 0.000 1
La1 La 0.000 0.000 0.500 1
Tc1 Tc 0.500 0.500 0.353 1
Tc2 Tc 0.500 0.500 0.647 1
```

---

The structure with the greatest stability is entry 2.

---

Entry 1
DFT (GGA-PBEsol) results for a relaxed structure of KLa2W.

Values from the calculation:
Its mass density is 7.653 g/cm3. The density of states at the Fermi level is 4.70 states/eV/cell.

```
data_KLa2W
_space_group_name_H-M_alt 'P 1'
_space_group_IT_number 1
_space_group_name_Hall 'P 1'
_cell_length_a 5.404
_cell_length_b 5.404
_cell_length_c 5.404
_cell_angle_alpha 126.76
_cell_angle_beta 114.94
_cell_angle_gamma 88.84
loop_
_atom_site_label
_atom_site_type_symbol
_atom_site_fract_x
_atom_site_fract_y
_atom_site_fract_z
_atom_site_occupancy
K1 K 0.000 0.000 0.000 1
La1 La 0.281 0.781 0.500 1
La2 La 0.719 0.219 0.500 1
W1 W 0.500 0.500 0.000 1
```

---

Entry 2
DFT (GGA-PBEsol) results for a relaxed structure of KLa2W.

Values from the calculation:
Its mass density is 7.978 g/cm3. The density of states at the Fermi level is 2.66 states/eV/cell.

```
data_KLa2W
_space_group_name_H-M_alt 'P 1'
_space_group_IT_number 1
_space_group_name_Hall 'P 1'
_cell_length_a 5.282
_cell_length_b 5.282
_cell_length_c 5.282
_cell_angle_alpha 60.00
_cell_angle_beta 60.00
_cell_angle_gamma 60.00
loop_
_atom_site_label
_atom_site_type_symbol
_atom_site_fract_x
_atom_site_fract_y
_atom_site_fract_z
_atom_site_occupancy
K1 K 0.000 0.000 0.000 1
La1 La 0.250 0.250 0.250 1
La2 La 0.750 0.750 0.750 1
W1 W 0.500 0.500 0.500 1
```

---

Entry 3
DFT (GGA-PBEsol) results for a relaxed structure of KLa2W.

Values from the calculation:
Its mass density is 7.850 g/cm3. The density of states at the Fermi level is 5.31 states/eV/cell.

```
data_KLa2W
_space_group_name_H-M_alt 'P 1'
_space_group_IT_number 1
_space_group_name_Hall 'P 1'
_cell_length_a 6.258
_cell_length_b 6.258
_cell_length_c 2.988
_cell_angle_alpha 100.13
_cell_angle_beta 100.13
_cell_angle_gamma 108.35
loop_
_atom_site_label
_atom_site_type_symbol
_atom_site_fract_x
_atom_site_fract_y
_atom_site_fract_z
_atom_site_occupancy
K1 K 0.000 0.000 0.000 1
La1 La 0.000 0.500 0.500 1
La2 La 0.500 0.000 0.500 1
W1 W 0.500 0.500 0.000 1
```

---

The structure with the greatest stability is entry 1.

---

Entry 1
DFT (GGA-PBEsol) results for a relaxed structure of K2LaZr.

Values from the calculation:
Its mass density is 3.435 g/cm3. The density of states at the Fermi level is 5.89 states/eV/cell.

```
data_K2LaZr
_space_group_name_H-M_alt 'P 1'
_space_group_IT_number 1
_space_group_name_Hall 'P 1'
_cell_length_a 4.633
_cell_length_b 4.633
_cell_length_c 6.944
_cell_angle_alpha 90.00
_cell_angle_beta 90.00
_cell_angle_gamma 90.00
loop_
_atom_site_label
_atom_site_type_symbol
_atom_site_fract_x
_atom_site_fract_y
_atom_site_fract_z
_atom_site_occupancy
K1 K 0.000 0.500 0.000 1
K2 K 0.500 0.000 0.000 1
La1 La 0.000 0.000 0.500 1
Zr1 Zr 0.500 0.500 0.500 1
```

---

Entry 2
DFT (GGA-PBEsol) results for a relaxed structure of K2LaZr.

Values from the calculation:
Its mass density is 3.288 g/cm3. The density of states at the Fermi level is 3.87 states/eV/cell.

```
data_K2LaZr
_space_group_name_H-M_alt 'P 1'
_space_group_IT_number 1
_space_group_name_Hall 'P 1'
_cell_length_a 7.786
_cell_length_b 7.786
_cell_length_c 7.786
_cell_angle_alpha 155.87
_cell_angle_beta 125.72
_cell_angle_gamma 60.24
loop_
_atom_site_label
_atom_site_type_symbol
_atom_site_fract_x
_atom_site_fract_y
_atom_site_fract_z
_atom_site_occupancy
K1 K 0.000 0.000 0.000 1
K2 K 0.724 0.224 0.500 1
La1 La 0.286 0.786 0.500 1
Zr1 Zr 0.466 0.466 0.000 1
```

---

The structure with the greatest stability is entry 2.

---

Entry 1
DFT (GGA-PBEsol) results for a relaxed structure of K5Li.

Values from the calculation:
Its mass density is 0.908 g/cm3. The density of states at the Fermi level is 4.27 states/eV/cell.

```
data_K5Li
_space_group_name_H-M_alt 'P 1'
_space_group_IT_number 1
_space_group_name_Hall 'P 1'
_cell_length_a 8.099
_cell_length_b 8.099
_cell_length_c 10.790
_cell_angle_alpha 109.81
_cell_angle_beta 109.81
_cell_angle_gamma 34.02
loop_
_atom_site_label
_atom_site_type_symbol
_atom_site_fract_x
_atom_site_fract_y
_atom_site_fract_z
_atom_site_occupancy
K1 K 0.000 0.000 0.000 1
K2 K 0.026 0.026 0.435 1
K3 K 0.307 0.307 0.157 1
K4 K 0.336 0.336 0.595 1
K5 K 0.667 0.667 0.795 1
Li1 Li 0.669 0.669 0.299 1
```

---

Entry 2
DFT (GGA-PBEsol) results for a relaxed structure of K5Li.

Values from the calculation:
Its mass density is 0.917 g/cm3. The density of states at the Fermi level is 4.21 states/eV/cell.

```
data_K5Li
_space_group_name_H-M_alt 'P 1'
_space_group_IT_number 1
_space_group_name_Hall 'P 1'
_cell_length_a 9.156
_cell_length_b 9.156
_cell_length_c 6.519
_cell_angle_alpha 90.00
_cell_angle_beta 90.00
_cell_angle_gamma 137.91
loop_
_atom_site_label
_atom_site_type_symbol
_atom_site_fract_x
_atom_site_fract_y
_atom_site_fract_z
_atom_site_occupancy
K1 K 0.000 0.000 0.000 1
K2 K 0.155 0.845 0.500 1
K3 K 0.345 0.655 0.000 1
K4 K 0.655 0.345 0.000 1
K5 K 0.845 0.155 0.500 1
Li1 Li 0.500 0.500 0.500 1
```

---

The structure with the greatest stability is entry 1.

---

Entry 1
DFT (GGA-PBEsol) results for a relaxed structure of KLiMo2.

Values from the calculation:
Its mass density is 5.289 g/cm3. The density of states at the Fermi level is 3.87 states/eV/cell.

```
data_KLiMo2
_space_group_name_H-M_alt 'P 1'
_space_group_IT_number 1
_space_group_name_Hall 'P 1'
_cell_length_a 2.654
_cell_length_b 5.764
_cell_length_c 4.975
_cell_angle_alpha 90.00
_cell_angle_beta 101.02
_cell_angle_gamma 90.00
loop_
_atom_site_label
_atom_site_type_symbol
_atom_site_fract_x
_atom_site_fract_y
_atom_site_fract_z
_atom_site_occupancy
K1 K 0.000 0.000 0.000 1
Li1 Li 0.500 0.000 0.500 1
Mo1 Mo 0.263 0.500 0.751 1
Mo2 Mo 0.737 0.500 0.249 1
```

---

Entry 2
DFT (GGA-PBEsol) results for a relaxed structure of KLiMo2.

Values from the calculation:
Its mass density is 5.306 g/cm3. The density of states at the Fermi level is 3.87 states/eV/cell.

```
data_KLiMo2
_space_group_name_H-M_alt 'P 1'
_space_group_IT_number 1
_space_group_name_Hall 'P 1'
_cell_length_a 2.959
_cell_length_b 4.366
_cell_length_c 5.763
_cell_angle_alpha 90.00
_cell_angle_beta 90.00
_cell_angle_gamma 90.00
loop_
_atom_site_label
_atom_site_type_symbol
_atom_site_fract_x
_atom_site_fract_y
_atom_site_fract_z
_atom_site_occupancy
K1 K 0.000 0.000 0.000 1
Li1 Li 0.500 0.500 0.000 1
Mo1 Mo 0.000 0.500 0.500 1
Mo2 Mo 0.500 0.000 0.500 1
```

---

The structure with the greatest stability is entry 1.